No. 1
Here is a geometry-optimized YZnInC2 structure from Alexandria. Energies are from PBE.

Output
E_tot (eV/atom): -4.1331
DOS(E_F) (states/eV/cell): 3.53
Volume (Å³ per cell): 94.3
Formation energy from the elements (eV/atom): 1.652

Unit cell a=4.389 b=4.389 c=4.896 alpha=90.00 beta=90.00 gamma=90.00
Space group P4/mmm (No. 123)
One atom of each set of equivalent atoms:
Y  0.000  0.000  0.000 (multiplicity 1)
Zn  0.500  0.500  0.000 (multiplicity 1)
In  0.500  0.500  0.500 (multiplicity 1)
C  0.000  0.500  0.500 (multiplicity 2)



No. 2
Here is a geometry-optimized BaMgW2 structure from Alexandria. Energies are from PBE.

Output
E_tot (eV/atom): -5.8927
DOS(E_F) (states/eV/cell): 6.61
Volume (Å³ per cell): 174.8
Formation energy from the elements (eV/atom): 1.463

Unit cell a=4.135 b=4.135 c=10.224 alpha=90.00 beta=90.00 gamma=90.00
Space group I4/mmm (No. 139)
One atom of each set of equivalent atoms:
Ba  0.000  0.000  0.000 (multiplicity 2)
Mg  0.000  0.000  0.500 (multiplicity 2)
W  0.000  0.500  0.250 (multiplicity 4)



No. 3
Here is a geometry-optimized TlH2Cl6 structure from Alexandria. Energies are from PBE.

Output
E_tot (eV/atom): -2.6233
Energy above the lowest structure with this stoichiometry (meV per atom): 39
DOS(E_F) (states/eV/cell): 22.05
Volume (Å³ per cell): 1038.8

Unit cell a=14.831 b=10.653 c=6.577 alpha=90.00 beta=91.46 gamma=90.00
Space group C2/c (No. 15)
One atom of each set of equivalent atoms:
Tl  0.000  0.105  0.250 (multiplicity 4)
H  0.123  0.467  0.215 (multiplicity 8)
Cl  0.100  0.080  0.582 (multiplicity 8)
Cl  0.119  0.266  0.136 (multiplicity 8)
Cl  0.134  0.411  0.714 (multiplicity 8)



What is the DOS(E_F) in the third record? 22.05 states/eV/cell